# 1
A relaxed PrSc2Ag3 crystal, computed with PBE. Values from VASP.

Values from the calculation:
**Size of the total moment**: 0.0 μB/f.u.
**Space-group type**: P4/mmm
**Fermi-level density of states**: 3.38 states/eV/f.u.
**Formation enthalpy at 0 K**: -259 meV/atom

Structure (Quantum ESPRESSO input):
```
&SYSTEM
  ibrav = 0, nat = 6, ntyp = 3
/
ATOMIC_SPECIES
Pr 140.91 Pr.upf
Sc 44.96 Sc.upf
Ag 107.87 Ag.upf
CELL_PARAMETERS angstrom
3.5025 0.0000 0.0000
0.0000 3.5025 0.0000
0.0000 0.0000 10.8935
ATOMIC_POSITIONS crystal
Pr 0.0000 0.0000 0.0000
Sc 0.0000 0.0000 0.3442
Sc 0.0000 0.0000 0.6558
Ag 0.5000 0.5000 0.2008
Ag 0.5000 0.5000 0.5000
Ag 0.5000 0.5000 0.7992
```

# 2
A relaxed TePBr2 crystal, computed with PBE. Values from VASP.

Values from the calculation:
**Formation energy without anion corrections**: 0.470 eV/atom
**Size of the total moment**: 0.0 μB/f.u.
**Energy above the most stable polymorph in this dataset**: 208 kJ/mol of formula units
**Space-group type**: R-3m
**Fermi-level density of states**: 2.62 states/eV/f.u.

Structure (Quantum ESPRESSO input):
```
&SYSTEM
  ibrav = 0, nat = 4, ntyp = 3
/
ATOMIC_SPECIES
Te 127.60 Te.upf
P 30.97 P.upf
Br 79.90 Br.upf
CELL_PARAMETERS angstrom
1.8522 1.0694 9.3890
-1.8522 1.0694 9.3890
0.0000 -2.1387 9.3890
ATOMIC_POSITIONS crystal
Te 0.0000 0.0000 0.0000
P 0.5000 0.5000 0.5000
Br 0.2228 0.2228 0.2228
Br 0.7772 0.7772 0.7772
```

no.,DFT total energy (eV per atom)
1,-4.59
2,-2.50